# 1
A plane-wave DFT calculation with PBE was carried out for a geometry-optimized Li2RuSe structure.

a b c (Å): 2.7107 2.7107 8.3619
angles (deg): 90.00 90.00 90.00
Last column: magnetic moment on the atom in μB.
Positions (direct):
Li 0.0000 0.0000 0.4961  -0.01
Li 0.0000 0.0000 0.0039  -0.01
Ru 0.5000 0.5000 0.2500  0.73
Se 0.5000 0.5000 0.7500  0.00

As for the total DFT energy (no corrections): -4.194 eV per atom. As for the uncorrected formation energy: -0.05 eV per atom.

---

# 2
A plane-wave DFT calculation with PBE was carried out for a geometry-optimized Ca4Cd2In structure.

a b c (Å): 5.3889 5.3889 9.3881
angles (deg): 73.32 73.32 60.00
Positions (direct):
Cd 0.2522 0.2522 0.2434
Ca 0.3773 0.3773 0.8682
Ca 0.8737 0.8737 0.3789
In 0.0000 0.0000 0.0000
Ca 0.1263 0.1263 0.6211
Ca 0.6227 0.6227 0.1318
Cd 0.7478 0.7478 0.7566

As for the total DFT energy (no corrections): -2.101 eV per atom. As for the formation energy: -305 meV/atom.

---

# 3
A plane-wave DFT calculation with PBE was carried out for a geometry-optimized MnZn2Ir structure.

a b c (Å): 4.6853 4.6853 4.4782
angles (deg): 76.00 76.00 36.60
Last column: magnetic moment on the atom in μB.
Positions (direct):
Mn 0.2500 0.2500 0.2500  3.39
Zn 0.4981 0.4981 0.5054  -0.03
Zn 0.0019 0.0019 0.9946  -0.03
Ir 0.7500 0.7500 0.7500  0.14

As for the total DFT energy (no corrections): -5.270 eV per atom. As for the formation energy: -125 meV/atom.

---

Number 1: N(E_F) 2.47 states/eV/f.u., calculated volume 61.4 Å³ per cell. Number 2: N(E_F) 4.19 states/eV/f.u., calculated volume 222.8 Å³ per cell. Number 3: N(E_F) 1.54 states/eV/f.u., calculated volume 56.7 Å³ per cell.